DFT (PBE-GGA) results for a relaxed structure of Cs5HI4.

Lattice parameters (Å, degrees): 11.994 11.994 7.786 90.00 90.00 90.00
Space group I4 (No. 79)
Unique sites:
1 Cs 0.000 0.000 0.000 x2
2 Cs 0.091 0.726 0.557 x8
3 H 0.000 0.000 0.601 x2
4 I 0.093 0.700 0.058 x8

Output
- DFT total energy (eV per atom) = -2.633
- calculated volume (Å³/f.u.) = 560.0
- distance to the lowest polymorph of the same formula (meV per atom) = 0


DFT (PBE-GGA) results for a relaxed structure of Cs6H5I.

Lattice parameters (Å, degrees): 8.262 14.246 8.197 90.00 109.86 90.00
Space group C2/m (No. 12)
Unique sites:
1 Cs 0.219 0.186 0.244 x8
2 Cs 0.235 0.000 0.786 x4
3 H 0.000 0.000 0.000 x2
4 H 0.000 0.171 0.500 x4
5 H 0.000 0.337 0.000 x4
6 I 0.000 0.500 0.500 x2

Output
- DFT total energy (eV per atom) = -2.321
- calculated volume (Å³/f.u.) = 453.7


DFT (PBE-GGA) results for a relaxed structure of Cs2HI.

Lattice parameters (Å, degrees): 8.835 8.835 8.835 90.00 90.00 90.00
Space group Fm-3m (No. 225)
Unique sites:
1 Cs 0.250 0.250 0.250 x8
2 H 0.000 0.000 0.000 x4
3 I 0.000 0.000 0.500 x4

Output
- DFT total energy (eV per atom) = -2.392
- calculated volume (Å³/f.u.) = 172.4
- distance to the lowest polymorph of the same formula (meV per atom) = 84


DFT (PBE-GGA) results for a relaxed structure of CsHI6.

Lattice parameters (Å, degrees): 7.060 7.171 9.995 74.38 73.89 62.73
Space group P-1 (No. 2)
Unique sites:
1 Cs 0.000 0.000 0.000 x1
2 H 0.000 0.000 0.500 x1
3 I 0.136 0.143 0.551 x2
4 I 0.255 0.255 0.232 x2
5 I 0.353 0.349 0.932 x2

Output
- DFT total energy (eV per atom) = -2.070
- calculated volume (Å³/f.u.) = 426.1


DFT (PBE-GGA) results for a relaxed structure of CsH6I3.

Lattice parameters (Å, degrees): 8.181 8.558 8.701 84.06 86.03 86.09
Space group P-1 (No. 2)
Unique sites:
1 Cs 0.000 0.000 0.000 x1
2 Cs 0.500 0.500 0.500 x1
3 H 0.068 0.426 0.247 x2
4 H 0.158 0.777 0.486 x2
5 H 0.215 0.841 0.461 x2
6 H 0.282 0.037 0.659 x2
7 H 0.342 0.013 0.720 x2
8 H 0.431 0.251 0.073 x2
9 I 0.088 0.423 0.761 x2
10 I 0.252 0.227 0.270 x2
11 I 0.416 0.740 0.079 x2

Output
- DFT total energy (eV per atom) = -2.882
- calculated volume (Å³/f.u.) = 301.7


DFT (PBE-GGA) results for a relaxed structure of Cs3H4I.

Lattice parameters (Å, degrees): 22.459 5.072 5.939 90.00 103.83 90.00
Space group C2/m (No. 12)
Unique sites:
1 Cs 0.000 0.000 0.000 x2
2 Cs 0.173 0.000 0.679 x4
3 H 0.087 0.500 0.973 x4
4 H 0.112 0.500 0.087 x4
5 I 0.000 0.500 0.500 x2

Output
- DFT total energy (eV per atom) = -2.523
- calculated volume (Å³/f.u.) = 328.5